# LiLaTa2

Crystalline LiLaTa2 at its relaxed geometry (PBE, the Alexandria database).

Summary:
E = -55.13 eV per cell
ΔE to the lowest computed polymorph = 1.61 eV/f.u.
volume = 172.8 Å³/cell
crystal system = tetragonal
formation energy from the elements = 0.746 eV/atom

Cell: 4.0425 4.0425 10.9520 Å, 79.36 79.36 90.00°
Fractional positions:
La: 0.0000 0.0000 0.0000
Li: 0.2500 0.7500 0.5000
La: 0.7500 0.2500 0.5000
Li: 0.5000 0.5000 0.0000
Ta: 0.6210 0.6250 0.2500
Ta: 0.1290 0.1250 0.2500
Ta: 0.8750 0.3790 0.7500
Ta: 0.3750 0.8710 0.7500